Entry 1:
# CsYPb PBE optimized geometry
data_CsYPb
_cell_length_a 5.233
_cell_length_b 5.234
_cell_length_c 13.564
_cell_angle_alpha 92.44
_cell_angle_beta 98.64
_cell_angle_gamma 119.78
_space_group_name_H-M_alt 'P 1'
_space_group_IT_number 1
loop_
_space_group_symop_operation_xyz
'x,y,z'
loop_
_atom_site_label
_atom_site_type_symbol
_atom_site_fract_x
_atom_site_fract_y
_atom_site_fract_z
Cs1 Cs 0.000 0.000 0.000
Cs2 Cs 0.390 0.265 0.660
Y1 Y 0.218 0.149 0.369
Y2 Y 0.800 0.425 0.227
Pb1 Pb 0.461 0.756 0.218
Pb2 Pb 0.938 0.520 0.461
# Calculated total energy, eV/atom: -3.813
# Energy of formation, eV per atom: -0.137
# E above lowest polymorph, eV per atom: 0.165

=====

Entry 2:
# CsYPb PBE optimized geometry
data_CsYPb
_cell_length_a 5.274
_cell_length_b 5.282
_cell_length_c 13.034
_cell_angle_alpha 86.14
_cell_angle_beta 85.45
_cell_angle_gamma 60.20
_space_group_name_H-M_alt 'P -1'
_space_group_IT_number 2
loop_
_space_group_symop_operation_xyz
'x,y,z'
'-x,-y,-z'
loop_
_atom_site_label
_atom_site_type_symbol
_atom_site_fract_x
_atom_site_fract_y
_atom_site_fract_z
Cs1 Cs 0.214 0.194 0.185
Y1 Y 0.157 0.162 0.561
Pb1 Pb 0.481 0.491 0.623
# Calculated total energy, eV/atom: -3.839
# Energy of formation, eV per atom: -0.163
# E above lowest polymorph, eV per atom: 0.139